Compound: SnGeP2Cl
Source: Alexandria via LeMat-Bulk
Functional: PBE
Structure: optimized geometry

Cell: 4.803 4.803 4.906 Å, 90.00 90.00 90.00°
Space group P4/mmm (No. 123)
Symmetry-distinct sites (fractional):
Sn1 0.000 0.000 0.000 x1
Ge1 0.500 0.500 0.500 x1
P1 0.000 0.500 0.500 x2
Cl1 0.500 0.500 0.000 x1

Results
Polymorph energy (0 for the lowest one) = 0 meV per atom
D(E_F) = 0.70 states/eV/atom
Density = 4.24 g cm⁻³
Final energy = -3.854 eV per atom
Uncorrected formation energy = 0.4032 eV/atom